(1)
Computed, not measured: a relaxed Zn2FeHg crystal at the GGA-PBE level of DFT.

Energy of formation from the pure elements (eV/atom): 0.25
Volume (Å³ per atom): 15.897

The structure in CIF format:
```
data_Zn2FeHg
_cell_length_a 9.138
_cell_length_b 2.849
_cell_length_c 4.987
_cell_angle_alpha 90.00
_cell_angle_beta 101.64
_cell_angle_gamma 90.00
_symmetry_space_group_name_H-M 'C 1 m 1'
_symmetry_Int_Tables_number 8
loop_
_symmetry_equiv_pos_as_xyz
'x,y,z'
'x,-y,z'
'x+1/2,y+1/2,z'
'x+1/2,-y+1/2,z'
loop_
_atom_site_label
_atom_site_type_symbol
_atom_site_fract_x
_atom_site_fract_y
_atom_site_fract_z
Zn1 Zn 0.000 0.000 0.000
Zn2 Zn 0.247 0.500 0.241
Fe1 Fe 0.262 0.000 0.790
Hg1 Hg 0.007 0.500 0.517
```

---

(2)
Computed, not measured: a relaxed ZnFe2Hg crystal at the GGA-PBE level of DFT.

Energy of formation from the pure elements (eV/atom): 0.37
Volume (Å³ per atom): 15.223

The structure in CIF format:
```
data_ZnFe2Hg
_cell_length_a 2.8145
_cell_length_b 2.8145
_cell_length_c 26.6272
_cell_angle_alpha 90.00
_cell_angle_beta 90.00
_cell_angle_gamma 120.00
_symmetry_space_group_name_H-M 'R -3 m'
_symmetry_Int_Tables_number 166
_symmetry_space_group_name_Hall '-R 3 2"'
loop_
_atom_site_label
_atom_site_type_symbol
_atom_site_fract_x
_atom_site_fract_y
_atom_site_fract_z
Zn1 Zn 0.0000 0.0000 0.0000
Fe1 Fe 0.0000 0.0000 0.2558
Hg1 Hg 0.0000 0.0000 0.5000
```

---

(3)
Computed, not measured: a relaxed Zn2FeHg crystal at the GGA-PBE level of DFT.

Energy of formation from the pure elements (eV/atom): 0.24
Volume (Å³ per atom): 16.083

The structure in CIF format:
```
data_Zn2FeHg
_cell_length_a 2.877
_cell_length_b 4.704
_cell_length_c 9.506
_cell_angle_alpha 90.00
_cell_angle_beta 90.00
_cell_angle_gamma 90.00
_symmetry_space_group_name_H-M 'I m m m'
_symmetry_Int_Tables_number 71
_symmetry_space_group_name_Hall '-I 2 2'
loop_
_atom_site_label
_atom_site_type_symbol
_atom_site_fract_x
_atom_site_fract_y
_atom_site_fract_z
Zn1 Zn 0.000 0.000 0.225
Fe1 Fe 0.000 0.500 0.500
Hg1 Hg 0.000 0.500 0.000
```

---

The records above yield DOS(E_F) values of 6.225 11.512 4.167 states/eV per cell, respectively.